# Ce2Bi3Sb | the Alexandria database | PBE-GGA | optimized geometry
# - E: -5.226 eV per atom
# - Total magnetization: 0.17 μB per cell
# - D(E_F): 0.871 states/eV per atom
data_Ce2Bi3Sb
_chemical_formula_sum 'Ce2 Bi3 Sb1'
_cell_length_a 4.4963
_cell_length_b 4.4963
_cell_length_c 9.0341
_cell_angle_alpha 90.00
_cell_angle_beta 90.00
_cell_angle_gamma 90.00
_symmetry_space_group_name_H-M 'P -4 m 2'
_symmetry_Int_Tables_number 115
_symmetry_space_group_name_Hall 'P -4 -2'
loop_
_atom_site_label
_atom_site_type_symbol
_atom_site_fract_x
_atom_site_fract_y
_atom_site_fract_z
Ce1 Ce 0.0000 0.5000 0.2180
Bi1 Bi 0.0000 0.5000 0.8536
Bi2 Bi 0.5000 0.5000 0.5000
Sb1 Sb 0.0000 0.0000 0.5000

---

# Ce5BiSb5 | the Alexandria database | PBE-GGA | optimized geometry
# - E: -5.677 eV per atom
# - Total magnetization: 4.63 μB per cell
# - D(E_F): 2.278 states/eV per atom
data_Ce5BiSb5
_chemical_formula_sum 'Ce10 Bi2 Sb10'
_cell_length_a 14.1171
_cell_length_b 6.3386
_cell_length_c 9.0003
_cell_angle_alpha 90.00
_cell_angle_beta 108.25
_cell_angle_gamma 90.00
_symmetry_space_group_name_H-M 'C 1 2/m 1'
_symmetry_Int_Tables_number 12
_symmetry_space_group_name_Hall '-C 2y'
loop_
_atom_site_label
_atom_site_type_symbol
_atom_site_fract_x
_atom_site_fract_y
_atom_site_fract_z
Ce1 Ce 0.0000 0.0000 0.0000
Ce2 Ce 0.1674 0.5000 0.8262
Ce3 Ce 0.1690 0.5000 0.3410
Bi1 Bi 0.0000 0.5000 0.0000
Sb1 Sb 0.0000 0.5000 0.5000
Sb2 Sb 0.1638 0.0000 0.3340
Sb3 Sb 0.1685 0.0000 0.8369

---

# CeBi2Sb | the Alexandria database | PBE-GGA | optimized geometry
# - E: -4.191 eV per atom
# - Total magnetization: 3.73 μB per cell
# - D(E_F): 1.831 states/eV per atom
data_CeBi2Sb
_chemical_formula_sum 'Ce3 Bi6 Sb3'
_cell_length_a 3.3975
_cell_length_b 3.3975
_cell_length_c 37.7275
_cell_angle_alpha 90.00
_cell_angle_beta 90.00
_cell_angle_gamma 120.00
_symmetry_space_group_name_H-M 'R -3 m'
_symmetry_Int_Tables_number 166
_symmetry_space_group_name_Hall '-R 3 2"'
loop_
_atom_site_label
_atom_site_type_symbol
_atom_site_fract_x
_atom_site_fract_y
_atom_site_fract_z
Ce1 Ce 0.0000 0.0000 0.0000
Bi1 Bi 0.0000 0.0000 0.0870
Sb1 Sb 0.0000 0.0000 0.5000

---

# Ce5Bi4Sb | the Alexandria database | PBE-GGA | optimized geometry
# - E: -5.771 eV per atom
# - Total magnetization: 9.07 μB per cell
# - D(E_F): 3.229 states/eV per atom
data_Ce5Bi4Sb
_chemical_formula_sum 'Ce10 Bi8 Sb2'
_cell_length_a 4.5786
_cell_length_b 6.4820
_cell_length_c 22.9356
_cell_angle_alpha 90.00
_cell_angle_beta 90.00
_cell_angle_gamma 90.00
_symmetry_space_group_name_H-M 'I m m m'
_symmetry_Int_Tables_number 71
_symmetry_space_group_name_Hall '-I 2 2'
loop_
_atom_site_label
_atom_site_type_symbol
_atom_site_fract_x
_atom_site_fract_y
_atom_site_fract_z
Ce1 Ce 0.0000 0.0000 0.0000
Ce2 Ce 0.0000 0.0000 0.2004
Ce3 Ce 0.0000 0.0000 0.4028
Bi1 Bi 0.0000 0.5000 0.1989
Bi2 Bi 0.0000 0.5000 0.3998
Sb1 Sb 0.0000 0.5000 0.0000

---

# Ce5Bi2Sb | the Alexandria database | PBE-GGA | optimized geometry
# - E: -5.811 eV per atom
# - Total magnetization: 12.26 μB per cell
# - D(E_F): 3.868 states/eV per atom
data_Ce5Bi2Sb
_chemical_formula_sum 'Ce10 Bi4 Sb2'
_cell_length_a 8.4637
_cell_length_b 12.7448
_cell_length_c 4.6584
_cell_angle_alpha 90.00
_cell_angle_beta 90.00
_cell_angle_gamma 90.00
_symmetry_space_group_name_H-M 'P b a m'
_symmetry_Int_Tables_number 55
_symmetry_space_group_name_Hall '-P 2 2ab'
loop_
_atom_site_label
_atom_site_type_symbol
_atom_site_fract_x
_atom_site_fract_y
_atom_site_fract_z
Ce1 Ce 0.0000 0.0000 0.0000
Ce2 Ce 0.1450 0.2804 0.0000
Ce3 Ce 0.2306 0.5615 0.5000
Bi1 Bi 0.0892 0.8195 0.5000
Sb1 Sb 0.0000 0.5000 0.0000

---

# Ce5Bi5Sb | the Alexandria database | PBE-GGA | optimized geometry
# - E: -5.468 eV per atom
# - Total magnetization: 4.95 μB per cell
# - D(E_F): 2.275 states/eV per atom
data_Ce5Bi5Sb
_chemical_formula_sum 'Ce10 Bi10 Sb2'
_cell_length_a 14.3444
_cell_length_b 6.4057
_cell_length_c 9.0794
_cell_angle_alpha 90.00
_cell_angle_beta 108.47
_cell_angle_gamma 90.00
_symmetry_space_group_name_H-M 'C 1 2/m 1'
_symmetry_Int_Tables_number 12
_symmetry_space_group_name_Hall '-C 2y'
loop_
_atom_site_label
_atom_site_type_symbol
_atom_site_fract_x
_atom_site_fract_y
_atom_site_fract_z
Ce1 Ce 0.0000 0.0000 0.0000
Ce2 Ce 0.1655 0.5000 0.3333
Ce3 Ce 0.1650 0.5000 0.8326
Bi1 Bi 0.0000 0.5000 0.5000
Bi2 Bi 0.1637 0.0000 0.8271
Bi3 Bi 0.1652 0.0000 0.3364
Sb1 Sb 0.0000 0.5000 0.0000